Entry 1:
The following is a PBE calculation of a relaxed Co2Sb crystal, from Alexandria.

Total moment = 0.00 Bohr magnetons per cell
Calculated volume = 190.3 Å³ per cell
Raw formation energy = 0.673 eV per formula unit

Structure (CIF):
```
data_Co2Sb
_cell_length_a 5.7524
_cell_length_b 5.7524
_cell_length_c 5.7524
_cell_angle_alpha 90.00
_cell_angle_beta 90.00
_cell_angle_gamma 90.00
_space_group_name_H-M_alt 'F m -3 m'
_space_group_IT_number 225
_space_group_name_Hall '-F 4 2 3'
loop_
_atom_site_label
_atom_site_type_symbol
_atom_site_fract_x
_atom_site_fract_y
_atom_site_fract_z
Co1 Co 0.2500 0.2500 0.2500
Sb1 Sb 0.0000 0.0000 0.0000
```



Entry 2:
The following is a PBE calculation of a relaxed BaAlMo2 crystal, from Alexandria.

ΔH_f (0 K) = 21.11 kcal/mol of atoms
Total moment = 0.00 Bohr magnetons per cell
Calculated volume = 445.3 Å³ per cell

Structure (CIF):
```
data_BaAlMo2
_cell_length_a 4.8038
_cell_length_b 4.8038
_cell_length_c 19.2979
_cell_angle_alpha 90.00
_cell_angle_beta 90.00
_cell_angle_gamma 90.00
_space_group_name_H-M_alt 'I -4 2 d'
_space_group_IT_number 122
_space_group_name_Hall 'I -4 2bw'
loop_
_atom_site_label
_atom_site_type_symbol
_atom_site_fract_x
_atom_site_fract_y
_atom_site_fract_z
Ba1 Ba 0.0000 0.0000 0.0000
Al1 Al 0.0000 0.0000 0.5000
Mo1 Mo 0.0226 0.7500 0.6250
```



> Look up the total moment of the second one.

0.00 Bohr magnetons per cell



> Which formula does entry 1 have?

Co2Sb